28
Lattice="-3.7191 6.2890 -2.9461 -6.3984 3.2227 4.4237 2.5162 7.6185 2.5538" Properties=species:S:1:pos:R:3 comment="SmZr2F11, optimized geometry, DFT PBE" raw_formation_energy_ev_per_atom=-3.8215 total_energy_ry_per_atom=-0.503 m_tot_mub_per_cell=0.0 space_group="No. 72" pbc="T T T"
F -7.2662 14.5076 3.6572
F -5.2630 6.8023 2.8003
F -5.5025 10.5137 2.6766
F -6.9994 7.1766 0.9447
F -2.3383 10.3279 1.2311
F -7.7013 9.6615 1.4486
F -3.4270 4.8658 -0.7057
F -0.5569 8.6992 0.3521
F -3.6893 12.4927 1.8712
F -2.0988 6.6165 1.3548
Sm -1.9003 4.2825 1.0078
Sm -5.7010 12.8476 3.0235
F -3.8007 8.5651 2.0157
F -5.4596 9.3143 0.0620
F -0.3351 2.6226 0.3742
Zr -5.2851 4.8770 3.6831
F -2.1418 7.8159 3.9694
F -3.9120 4.6375 2.1602
F 0.1000 7.4687 2.5827
F 0.0000 0.0000 0.0000
Zr -1.6753 8.5078 2.0769
F -7.6761 12.1810 1.9486
Zr -2.3162 12.2532 0.3482
F -7.0444 8.4310 3.6792
Zr -5.9260 8.6224 1.9545
F -4.1743 12.2644 4.7370
F 0.0748 4.9492 2.0827
F -0.6019 9.9536 3.0867